VASP calculation (PBE) on crystalline HfMo2PbSe at its relaxed geometry.

Cell lengths 5.1069, 5.1069, 5.0388 Å; angles 90.00, 90.00, 90.00 degrees
Space group P4/mmm (No. 123)
Asymmetric unit:
Hf (0.0000, 0.0000, 0.0000) x1
Mo (0.0000, 0.5000, 0.0000) x2
Pb (0.5000, 0.5000, 0.5000) x1
Se (0.0000, 0.0000, 0.5000) x1

Results
- electronic total energy (eV per formula unit) = -32.1
- magnetization (μB per cell) = 5.065
- volume (Å³ per cell) = 131

=====

VASP calculation (PBE) on crystalline Sr5Cd2Sb5F at its relaxed geometry.

Cell lengths 4.8012, 22.4730, 14.9509 Å; angles 90.00, 90.00, 90.00 degrees
Space group Cmcm (No. 63)
Asymmetric unit:
Sr (0.0000, 0.0000, 0.0000) x4
Sr (0.0000, 0.0975, 0.2500) x4
Sr (0.0000, 0.1007, 0.7500) x4
Sr (0.0000, 0.2706, 0.1197) x8
Cd (0.0000, 0.3686, 0.5856) x8
Sb (0.0000, 0.1491, 0.5204) x8
Sb (0.0000, 0.2937, 0.7500) x4
Sb (0.0000, 0.4953, 0.6542) x8
F (0.0000, 0.3434, 0.2500) x4

Results
- electronic total energy (eV per formula unit) = -48.3
- magnetization (μB per cell) = 0.000
- volume (Å³ per cell) = 1613

=====

VASP calculation (PBE) on crystalline Sr2ZnNiTe at its relaxed geometry.

Cell lengths 5.6512, 5.6512, 4.6120 Å; angles 90.00, 90.00, 90.00 degrees
Space group P4/mmm (No. 123)
Asymmetric unit:
Sr (0.0000, 0.5000, 0.0000) x2
Zn (0.0000, 0.0000, 0.5000) x1
Ni (0.0000, 0.0000, 0.0000) x1
Te (0.5000, 0.5000, 0.5000) x1

Results
- electronic total energy (eV per formula unit) = -16.3
- magnetization (μB per cell) = 0.000
- volume (Å³ per cell) = 147

=====

VASP calculation (PBE) on crystalline La3MgBi at its relaxed geometry.

Cell lengths 6.1363, 6.1363, 6.1363 Å; angles 90.00, 90.00, 90.00 degrees
Space group Pm-3m (No. 221)
Asymmetric unit:
La (0.0000, 0.0000, 0.5000) x3
Mg (0.5000, 0.5000, 0.5000) x1
Bi (0.0000, 0.0000, 0.0000) x1

Results
- energy relative to the lowest polymorph listed for this composition (meV per atom) = 0
- magnetization (μB per cell) = 0.001
- E_form (eV per atom) = 0.121
- volume (Å³ per cell) = 231

=====

VASP calculation (PBE) on crystalline KCr2Rh at its relaxed geometry.

Cell lengths 8.9081, 2.9080, 7.0402 Å; angles 90.00, 99.00, 90.00 degrees
Space group Cm (No. 8)
Asymmetric unit:
K (0.0000, 0.0000, 0.0000) x2
Cr (0.0005, 0.5000, 0.5212) x2
Cr (0.2947, 0.5000, 0.3795) x2
Rh (0.2268, 0.0000, 0.6437) x2

Results
- energy relative to the lowest polymorph listed for this composition (meV per atom) = 86
- magnetization (μB per cell) = 0.938
- E_form (eV per atom) = 0.641
- volume (Å³ per cell) = 180

=====

VASP calculation (PBE) on crystalline TaBe12 at its relaxed geometry.

Cell lengths 7.3033, 7.3033, 4.2071 Å; angles 90.00, 90.00, 90.00 degrees
Space group I4/mmm (No. 139)
Asymmetric unit:
Ta (0.0000, 0.0000, 0.0000) x2
Be (0.0000, 0.2168, 0.5000) x8
Be (0.0000, 0.3528, 0.0000) x8
Be (0.2500, 0.2500, 0.2500) x8

Results
- magnetization (μB per cell) = 0.001
- E_form (eV per atom) = -0.154
- volume (Å³ per cell) = 224

=====

VASP calculation (PBE) on crystalline Zr5Co2Sb at its relaxed geometry.

Cell lengths 7.0132, 7.0132, 13.0318 Å; angles 90.00, 90.00, 90.00 degrees
Space group I4/mcm (No. 140)
Asymmetric unit:
Zr (0.0000, 0.0000, 0.0000) x4
Zr (0.1579, 0.3421, 0.1341) x16
Co (0.1308, 0.3692, 0.5000) x8
Sb (0.0000, 0.0000, 0.2500) x4

Results
- electronic total energy (eV per formula unit) = -64.1
- magnetization (μB per cell) = 0.001
- volume (Å³ per cell) = 641

=====

> Look up the volume of the seventh one.

641 Å³ per cell

=====

Copy entry 5 word for word.
VASP calculation (PBE) on crystalline KCr2Rh at its relaxed geometry.

Cell lengths 8.9081, 2.9080, 7.0402 Å; angles 90.00, 99.00, 90.00 degrees
Space group Cm (No. 8)
Asymmetric unit:
K (0.0000, 0.0000, 0.0000) x2
Cr (0.0005, 0.5000, 0.5212) x2
Cr (0.2947, 0.5000, 0.3795) x2
Rh (0.2268, 0.0000, 0.6437) x2

Results
- energy relative to the lowest polymorph listed for this composition (meV per atom) = 86
- magnetization (μB per cell) = 0.938
- E_form (eV per atom) = 0.641
- volume (Å³ per cell) = 180

=====

> Among the records above, which one has the lowest volume?

HfMo2PbSe